Entry 1:
# TaSi2MoPd, optimized geometry, DFT PBE-GGA
# density of states at the Fermi level: 3.9 states/eV/f.u.
# magnetization: 1.86 Bohr magnetons per cell
# energy relative to the elements, uncorrected: 1287 meV per atom
# calculated total energy: -6.457 eV/atom
data_TaSi2MoPd
_chemical_formula_sum 'Ta1 Si2 Mo1 Pd1'
_cell_length_a 4.799
_cell_length_b 4.825
_cell_length_c 4.799
_cell_angle_alpha 90.00
_cell_angle_beta 90.00
_cell_angle_gamma 90.00
_symmetry_space_group_name_H-M 'P 1'
_symmetry_Int_Tables_number 1
loop_
_symmetry_equiv_pos_as_xyz
'x,y,z'
loop_
_atom_site_label
_atom_site_type_symbol
_atom_site_fract_x
_atom_site_fract_y
_atom_site_fract_z
_atom_site_occupancy
Si1 Si 0.500 0.000 0.000 1
Mo1 Mo 0.000 0.500 0.000 1
Ta1 Ta 0.000 0.000 0.000 1
Si2 Si 0.000 0.000 0.500 1
Pd1 Pd 0.500 0.500 0.500 1

***

Entry 2:
# Cs2Rb2PdO4, optimized geometry, DFT PBE-GGA
# density of states at the Fermi level: 9.4 states/eV/f.u.
# magnetization: 2.01 Bohr magnetons per cell
# energy relative to the elements, uncorrected: -701 meV per atom
# calculated total energy: -3.887 eV/atom
data_Cs2Rb2PdO4
_chemical_formula_sum 'Cs2 Rb2 Pd1 O4'
_cell_length_a 6.613
_cell_length_b 6.613
_cell_length_c 6.613
_cell_angle_alpha 92.20
_cell_angle_beta 118.74
_cell_angle_gamma 118.74
_symmetry_space_group_name_H-M 'P 1'
_symmetry_Int_Tables_number 1
loop_
_symmetry_equiv_pos_as_xyz
'x,y,z'
loop_
_atom_site_label
_atom_site_type_symbol
_atom_site_fract_x
_atom_site_fract_y
_atom_site_fract_z
_atom_site_occupancy
Rb1 Rb 0.500 0.750 0.250 1
O1 O 0.422 0.211 0.211 1
Cs1 Cs 0.000 0.673 0.673 1
Pd1 Pd 0.000 0.000 0.000 1
O2 O 0.000 0.789 0.211 1
Rb2 Rb 0.500 0.250 0.750 1
O3 O 0.578 0.789 0.789 1
O4 O 0.000 0.211 0.789 1
Cs2 Cs 0.000 0.327 0.327 1

***

Entry 3:
# ScSiBr, optimized geometry, DFT PBE-GGA
# density of states at the Fermi level: 1.4 states/eV/f.u.
# magnetization: 0.00 Bohr magnetons per cell
# energy relative to the elements, uncorrected: -471 meV per atom
# calculated total energy: -4.947 eV/atom
data_ScSiBr
_chemical_formula_sum 'Sc1 Si1 Br1'
_cell_length_a 3.447
_cell_length_b 3.447
_cell_length_c 7.158
_cell_angle_alpha 90.00
_cell_angle_beta 90.00
_cell_angle_gamma 120.00
_symmetry_space_group_name_H-M 'P 1'
_symmetry_Int_Tables_number 1
loop_
_symmetry_equiv_pos_as_xyz
'x,y,z'
loop_
_atom_site_label
_atom_site_type_symbol
_atom_site_fract_x
_atom_site_fract_y
_atom_site_fract_z
_atom_site_occupancy
Br1 Br 0.000 0.000 0.072 1
Sc1 Sc 0.667 0.333 0.328 1
Si1 Si 0.333 0.667 0.600 1

***

Entry 4:
# InNi, optimized geometry, DFT PBE-GGA
# DFT formation energy: -0.001 eV per atom
# density of states at the Fermi level: 0.7 states/eV/f.u.
# magnetization: 0.00 Bohr magnetons per cell
# calculated total energy: -4.261 eV/atom
data_InNi
_chemical_formula_sum 'In2 Ni2'
_cell_length_a 5.260
_cell_length_b 5.260
_cell_length_c 5.260
_cell_angle_alpha 141.81
_cell_angle_beta 134.04
_cell_angle_gamma 61.24
_symmetry_space_group_name_H-M 'P 1'
_symmetry_Int_Tables_number 1
loop_
_symmetry_equiv_pos_as_xyz
'x,y,z'
loop_
_atom_site_label
_atom_site_type_symbol
_atom_site_fract_x
_atom_site_fract_y
_atom_site_fract_z
_atom_site_occupancy
Ni1 Ni 0.886 0.136 0.250 1
In1 In 0.634 0.384 0.750 1
Ni2 Ni 0.114 0.864 0.750 1
In2 In 0.366 0.616 0.250 1

***

Entry 5:
# CaCo, optimized geometry, DFT PBE-GGA
# DFT formation energy: 0.813 eV per atom
# density of states at the Fermi level: 3.2 states/eV/f.u.
# magnetization: 1.21 Bohr magnetons per cell
# calculated total energy: -3.740 eV/atom
data_CaCo
_chemical_formula_sum 'Ca1 Co1'
_cell_length_a 4.094
_cell_length_b 4.094
_cell_length_c 4.094
_cell_angle_alpha 60.00
_cell_angle_beta 60.00
_cell_angle_gamma 60.00
_symmetry_space_group_name_H-M 'P 1'
_symmetry_Int_Tables_number 1
loop_
_symmetry_equiv_pos_as_xyz
'x,y,z'
loop_
_atom_site_label
_atom_site_type_symbol
_atom_site_fract_x
_atom_site_fract_y
_atom_site_fract_z
_atom_site_occupancy
Ca1 Ca 0.000 0.000 0.000 1
Co1 Co 0.500 0.500 0.500 1

***

Entry 6:
# SbPb3O6, optimized geometry, DFT PBE-GGA
# density of states at the Fermi level: 7.1 states/eV/f.u.
# magnetization: 0.00 Bohr magnetons per cell
# energy relative to the elements, uncorrected: -1160 meV per atom
# calculated total energy: -5.659 eV/atom
data_SbPb3O6
_chemical_formula_sum 'Sb2 Pb6 O12'
_cell_length_a 7.021
_cell_length_b 7.021
_cell_length_c 7.021
_cell_angle_alpha 93.66
_cell_angle_beta 93.66
_cell_angle_gamma 93.66
_symmetry_space_group_name_H-M 'P 1'
_symmetry_Int_Tables_number 1
loop_
_symmetry_equiv_pos_as_xyz
'x,y,z'
loop_
_atom_site_label
_atom_site_type_symbol
_atom_site_fract_x
_atom_site_fract_y
_atom_site_fract_z
_atom_site_occupancy
O1 O 0.229 0.546 0.405 1
O2 O 0.715 0.040 0.952 1
Pb1 Pb 0.556 0.066 0.254 1
Sb1 Sb 0.000 0.000 0.000 1
O3 O 0.405 0.229 0.546 1
O4 O 0.952 0.715 0.040 1
Pb2 Pb 0.934 0.746 0.444 1
Pb3 Pb 0.746 0.444 0.934 1
Sb2 Sb 0.500 0.500 0.500 1
O5 O 0.595 0.771 0.454 1
Pb4 Pb 0.066 0.254 0.556 1
O6 O 0.040 0.952 0.715 1
O7 O 0.285 0.960 0.048 1
O8 O 0.546 0.405 0.229 1
O9 O 0.048 0.285 0.960 1
O10 O 0.960 0.048 0.285 1
O11 O 0.454 0.595 0.771 1
Pb5 Pb 0.254 0.556 0.066 1
Pb6 Pb 0.444 0.934 0.746 1
O12 O 0.771 0.454 0.595 1

***

Entry 7:
# Ti2BiTeBr, optimized geometry, DFT PBE-GGA
# density of states at the Fermi level: 6.4 states/eV/f.u.
# magnetization: 3.90 Bohr magnetons per cell
# energy relative to the elements, uncorrected: 830 meV per atom
# calculated total energy: -4.067 eV/atom
data_Ti2BiTeBr
_chemical_formula_sum 'Ti2 Bi1 Te1 Br1'
_cell_length_a 5.527
_cell_length_b 5.837
_cell_length_c 5.527
_cell_angle_alpha 90.00
_cell_angle_beta 90.00
_cell_angle_gamma 90.00
_symmetry_space_group_name_H-M 'P 1'
_symmetry_Int_Tables_number 1
loop_
_symmetry_equiv_pos_as_xyz
'x,y,z'
loop_
_atom_site_label
_atom_site_type_symbol
_atom_site_fract_x
_atom_site_fract_y
_atom_site_fract_z
_atom_site_occupancy
Br1 Br 0.500 0.500 0.500 1
Ti1 Ti 0.000 0.000 0.500 1
Bi1 Bi 0.000 0.000 0.000 1
Ti2 Ti 0.500 0.000 0.000 1
Te1 Te 0.000 0.500 0.000 1

***

Entry 8:
# PC, optimized geometry, DFT PBE-GGA
# DFT formation energy: 1.247 eV per atom
# density of states at the Fermi level: 0.5 states/eV/f.u.
# magnetization: 0.00 Bohr magnetons per cell
# energy relative to the lowest polymorph listed for this composition: 935 meV/atom
# calculated total energy: -6.070 eV/atom
data_PC
_chemical_formula_sum 'P1 C1'
_cell_length_a 2.666
_cell_length_b 2.666
_cell_length_c 3.166
_cell_angle_alpha 90.00
_cell_angle_beta 90.00
_cell_angle_gamma 90.00
_symmetry_space_group_name_H-M 'P 1'
_symmetry_Int_Tables_number 1
loop_
_symmetry_equiv_pos_as_xyz
'x,y,z'
loop_
_atom_site_label
_atom_site_type_symbol
_atom_site_fract_x
_atom_site_fract_y
_atom_site_fract_z
_atom_site_occupancy
P1 P 0.500 0.500 0.000 1
C1 C 0.000 0.000 0.000 1